Entry 1:
Compound: Ce2PIr3
Source: Alexandria via LeMat-Bulk
Functional: PBE
Structure: relaxed

Unit cell a=3.9253 b=4.0231 c=7.6690 alpha=90.00 beta=90.00 gamma=90.00
Space group Pmm2 (No. 25)
Asymmetric unit:
1 Ce 0.0000 0.0000 0.0000 x1
2 Ce 0.0000 0.5000 0.4990 x1
3 P 0.5000 0.0000 0.3320 x1
4 Ir 0.5000 0.0000 0.6372 x1
5 Ir 0.5000 0.5000 0.1823 x1
6 Ir 0.5000 0.5000 0.8441 x1

Calculated values
**Formation enthalpy at 0 K**: -19.3 kcal/mol of atoms
**V**: 121.11 Å³/cell

***

Entry 2:
Compound: Ce8PIr2
Source: Alexandria via LeMat-Bulk
Functional: PBE
Structure: relaxed

Unit cell a=8.3195 b=13.4049 c=5.0200 alpha=90.00 beta=105.56 gamma=90.00
Space group C2/m (No. 12)
Asymmetric unit:
1 Ce 0.0000 0.2338 0.0000 x4
2 Ce 0.1165 0.5000 0.8358 x4
3 Ce 0.1774 0.1036 0.5692 x8
4 P 0.0000 0.0000 0.0000 x2
5 Ir 0.0000 0.3109 0.5000 x4

Calculated values
**Formation enthalpy at 0 K**: -10.0 kcal/mol of atoms
**V**: 539.31 Å³/cell

***

Entry 3:
Compound: Ce2P2Ir3
Source: Alexandria via LeMat-Bulk
Functional: PBE
Structure: relaxed

Unit cell a=3.9268 b=17.8971 c=3.9710 alpha=90.00 beta=90.00 gamma=90.00
Space group Cmmm (No. 65)
Asymmetric unit:
1 Ce 0.0000 0.1396 0.0000 x4
2 P 0.0000 0.4260 0.5000 x4
3 Ir 0.0000 0.0000 0.5000 x2
4 Ir 0.0000 0.2959 0.5000 x4

Calculated values
**Formation enthalpy at 0 K**: -20.1 kcal/mol of atoms
**V**: 279.08 Å³/cell

***

Entry 4:
Compound: Ce2P4Ir3
Source: Alexandria via LeMat-Bulk
Functional: PBE
Structure: relaxed

Unit cell a=5.5173 b=9.8060 c=11.7859 alpha=90.00 beta=90.00 gamma=90.00
Space group Fmmm (No. 69)
Asymmetric unit:
1 Ce 0.0000 0.0000 0.1447 x8
2 P 0.0000 0.1618 0.3453 x16
3 Ir 0.0000 0.0000 0.5000 x4
4 Ir 0.2500 0.2500 0.0000 x8

Calculated values
**Formation enthalpy at 0 K**: -18.2 kcal/mol of atoms
**V**: 637.64 Å³/cell

***

Entry 5:
Compound: Ce4P5Ir
Source: Alexandria via LeMat-Bulk
Functional: PBE
Structure: relaxed

Unit cell a=4.0029 b=4.0029 c=46.5397 alpha=90.00 beta=90.00 gamma=120.00
Space group R-3m (No. 166, hexagonal axes)
Asymmetric unit:
1 Ce 0.0000 0.0000 0.1100 x6
2 Ce 0.0000 0.0000 0.2970 x6
3 P 0.0000 0.0000 0.0000 x3
4 P 0.0000 0.0000 0.1867 x6
5 P 0.0000 0.0000 0.4069 x6
6 Ir 0.0000 0.0000 0.5000 x3

Calculated values
**Formation enthalpy at 0 K**: -30.0 kcal/mol of atoms
**V**: 645.81 Å³/cell

***

Entry 6:
Compound: CeP3Ir6
Source: Alexandria via LeMat-Bulk
Functional: PBE
Structure: relaxed

Unit cell a=5.5026 b=5.5026 c=18.0905 alpha=90.00 beta=90.00 gamma=120.00
Space group R3 (No. 146, hexagonal axes)
Asymmetric unit:
1 Ce 0.0000 0.0000 0.0000 x3
2 P 0.0000 0.0000 0.3030 x3
3 P 0.0000 0.0000 0.6398 x3
4 P 0.0000 0.0000 0.8401 x3
5 Ir 0.0023 0.5142 0.0709 x9
6 Ir 0.0947 0.3374 0.2099 x9

Calculated values
**Formation enthalpy at 0 K**: -11.3 kcal/mol of atoms
**V**: 474.44 Å³/cell